DFT (PBE-GGA) results for a relaxed structure of TiNbMo3.

The structure belongs to space group Pm-3m (No. 221); the cell edges are 4.540, 4.540 and 4.540 Å and the angles 90.00°, 90.00° and 90.00°. The distinct sites, in fractional coordinates, are Ti at (0.000, 0.000, 0.000), Nb at (0.500, 0.500, 0.500) and Mo at (0.000, 0.000, 0.500).

The magnetization is 0.0 μB per cell. The calculated total energy comes out at -8.75 eV/atom. The calculation puts the formation energy from the elements at 1344 meV/atom.

DFT (PBE-GGA) results for a relaxed structure of Ti2Nb2Mo5.

The structure belongs to space group C2/m (No. 12); the cell edges are 13.202, 4.447 and 5.517 Å and the angles 90.00°, 105.69° and 90.00°. The distinct sites, in fractional coordinates, are Ti at (0.099, 0.000, 0.409), Nb at (0.201, 0.500, 0.795), Mo at (0.000, 0.500, 0.500), Mo at (0.091, 0.000, 0.903) and Mo at (0.193, 0.500, 0.289).

The magnetization is 0.0 μB per cell. The calculated total energy comes out at -9.71 eV/atom. The calculation puts the formation energy from the elements at 302 meV/atom.

DFT (PBE-GGA) results for a relaxed structure of Ti2Nb4Mo3.

The structure belongs to space group P-3m1 (No. 164); the cell edges are 4.6114, 4.6114 and 8.2738 Å and the angles 90.00°, 90.00° and 120.00°. The distinct sites, in fractional coordinates, are Ti at (0.3333, 0.6667, 0.2319), Nb at (0.0000, 0.0000, 0.3333), Nb at (0.3333, 0.6667, 0.8914), Mo at (0.0000, 0.0000, 0.0000) and Mo at (0.3333, 0.6667, 0.5576).

The magnetization is 0.0 μB per cell. The calculated total energy comes out at -9.91 eV/atom. The calculation puts the formation energy from the elements at -66 meV/atom.

Q: What is the formula in the second record?
A: Ti2Nb2Mo5

Q: Which of these has the lowest formation energy from the elements?
A: Ti2Nb4Mo3

Q: The highest calculated total energy belongs to which entry?
A: TiNbMo3

Q: Which value of calculated total energy does entry 3 give?
A: -9.91 eV/atom